Entry 1:
Density functional theory data (PBE) for a geometry-optimized TbPmNd6Dy2 structure.

Summary:
density of states at the Fermi level	1.481	states/eV per atom
calculated formation energy	0.115	eV/atom

a = 8.970 Å, b = 8.970 Å, c = 9.757 Å
α = 94.12°, β = 94.12°, γ = 117.71°
Sites, in units of the cell vectors:
Tb 0.028 0.972 0.750
Tb 0.972 0.028 0.250
Pm 0.408 0.592 0.250
Pm 0.592 0.408 0.750
Nd 0.015 0.566 0.685
Nd 0.113 0.759 0.055
Nd 0.241 0.887 0.445
Nd 0.294 0.509 0.880
Nd 0.434 0.985 0.815
Nd 0.491 0.706 0.620
Nd 0.509 0.294 0.380
Nd 0.566 0.015 0.185
Nd 0.706 0.491 0.120
Nd 0.759 0.113 0.555
Nd 0.887 0.241 0.945
Nd 0.985 0.434 0.315
Dy 0.197 0.294 0.546
Dy 0.294 0.197 0.046
Dy 0.706 0.803 0.954
Dy 0.803 0.706 0.454

---

Entry 2:
Density functional theory data (PBE) for a geometry-optimized NpPSe4 structure.

Summary:
formation energy from raw total energies	-1.68	eV/f.u.
density of states at the Fermi level	1.708	states/eV per atom

a = 7.185 Å, b = 7.185 Å, c = 5.881 Å
α = 90.00°, β = 90.00°, γ = 90.00°
Sites, in units of the cell vectors:
Np 0.000 0.000 0.000
Np 0.500 0.500 0.500
P 0.000 0.500 0.250
P 0.500 0.000 0.750
Se 0.243 0.744 0.251
Se 0.244 0.257 0.249
Se 0.256 0.243 0.749
Se 0.257 0.756 0.751
Se 0.743 0.244 0.751
Se 0.744 0.757 0.749
Se 0.756 0.743 0.249
Se 0.757 0.256 0.251

---

Entry 3:
Density functional theory data (PBE) for a geometry-optimized Pm4Sb3Br structure.

Summary:
formation energy from raw total energies	-9.64	eV/f.u.
density of states at the Fermi level	0.418	states/eV per atom

a = 6.281 Å, b = 6.281 Å, c = 12.636 Å
α = 90.00°, β = 90.00°, γ = 90.00°
Sites, in units of the cell vectors:
Pm 0.000 0.000 0.242
Pm 0.000 0.000 0.758
Pm 0.000 0.500 0.000
Pm 0.000 0.500 0.500
Pm 0.500 0.000 0.000
Pm 0.500 0.000 0.500
Pm 0.500 0.500 0.258
Pm 0.500 0.500 0.742
Sb 0.000 0.000 0.000
Sb 0.000 0.500 0.250
Sb 0.000 0.500 0.750
Sb 0.500 0.000 0.250
Sb 0.500 0.000 0.750
Sb 0.500 0.500 0.500
Br 0.000 0.000 0.500
Br 0.500 0.500 0.000

---

Entry 4:
Density functional theory data (PBE) for a geometry-optimized BaSiN2O structure.

Summary:
formation energy from raw total energies	9.08	eV/f.u.
density of states at the Fermi level	0.641	states/eV per atom

a = 4.680 Å, b = 4.680 Å, c = 4.599 Å
α = 90.00°, β = 90.00°, γ = 90.00°
Sites, in units of the cell vectors:
Ba 0.000 0.000 0.000
Si 0.500 0.500 0.500
N 0.000 0.500 0.000
N 0.500 0.000 0.000
O 0.000 0.000 0.500

---

Entry 5:
Density functional theory data (PBE) for a geometry-optimized Ni2AgRuN structure.

Summary:
formation energy from raw total energies	0.92	eV/f.u.
density of states at the Fermi level	1.459	states/eV per atom

a = 3.921 Å, b = 3.921 Å, c = 3.927 Å
α = 90.00°, β = 90.00°, γ = 90.00°
Sites, in units of the cell vectors:
Ni 0.000 0.500 0.000
Ni 0.500 0.000 0.000
Ag 0.000 0.000 0.500
Ru 0.500 0.500 0.500
N 0.500 0.500 0.000

---

Entry 6:
Density functional theory data (PBE) for a geometry-optimized Hf6ReHg2 structure.

Summary:
density of states at the Fermi level	1.139	states/eV per atom
calculated formation energy	0.235	eV/atom

a = 8.036 Å, b = 8.036 Å, c = 8.036 Å
α = 145.91°, β = 131.44°, γ = 60.66°
Sites, in units of the cell vectors:
Hf 0.084 0.343 0.741
Hf 0.231 0.000 0.231
Hf 0.398 0.657 0.741
Hf 0.602 0.343 0.259
Hf 0.769 0.000 0.769
Hf 0.916 0.657 0.259
Re 0.000 0.500 0.500
Hg 0.331 0.831 0.500
Hg 0.669 0.169 0.500

---

Entry 7:
Density functional theory data (PBE) for a geometry-optimized ScAlPt structure.

Summary:
density of states at the Fermi level	0.558	states/eV per atom
calculated formation energy	-1.131	eV/atom

a = 6.717 Å, b = 4.209 Å, c = 11.337 Å
α = 90.00°, β = 91.09°, γ = 90.00°
Sites, in units of the cell vectors:
Sc 0.029 0.250 0.376
Sc 0.155 0.250 0.083
Sc 0.467 0.750 0.710
Sc 0.533 0.250 0.290
Sc 0.845 0.750 0.917
Sc 0.971 0.750 0.624
Al 0.132 0.250 0.795
Al 0.350 0.750 0.458
Al 0.499 0.250 0.915
Al 0.501 0.750 0.085
Al 0.650 0.250 0.542
Al 0.868 0.750 0.205
Pt 0.244 0.750 0.244
Pt 0.259 0.750 0.911
Pt 0.267 0.250 0.577
Pt 0.733 0.750 0.423
Pt 0.741 0.250 0.089
Pt 0.756 0.250 0.756

---

Entry 8:
Density functional theory data (PBE) for a geometry-optimized YSnSb2 structure.

Summary:
formation energy from raw total energies	-0.81	eV/f.u.
density of states at the Fermi level	1.273	states/eV per atom

a = 6.899 Å, b = 6.899 Å, c = 13.780 Å
α = 90.00°, β = 90.00°, γ = 90.00°
Sites, in units of the cell vectors:
Y 0.000 0.000 0.000
Y 0.000 0.500 0.250
Y 0.500 0.000 0.750
Y 0.500 0.500 0.500
Sn 0.000 0.000 0.500
Sn 0.000 0.500 0.750
Sn 0.500 0.000 0.250
Sn 0.500 0.500 0.000
Sb 0.241 0.250 0.625
Sb 0.250 0.741 0.875
Sb 0.250 0.759 0.375
Sb 0.259 0.250 0.125
Sb 0.741 0.750 0.125
Sb 0.750 0.241 0.375
Sb 0.750 0.259 0.875
Sb 0.759 0.750 0.625

---

Copy entry 2 word for word.
Density functional theory data (PBE) for a geometry-optimized NpPSe4 structure.

Summary:
formation energy from raw total energies	-1.68	eV/f.u.
density of states at the Fermi level	1.708	states/eV per atom

a = 7.185 Å, b = 7.185 Å, c = 5.881 Å
α = 90.00°, β = 90.00°, γ = 90.00°
Sites, in units of the cell vectors:
Np 0.000 0.000 0.000
Np 0.500 0.500 0.500
P 0.000 0.500 0.250
P 0.500 0.000 0.750
Se 0.243 0.744 0.251
Se 0.244 0.257 0.249
Se 0.256 0.243 0.749
Se 0.257 0.756 0.751
Se 0.743 0.244 0.751
Se 0.744 0.757 0.749
Se 0.756 0.743 0.249
Se 0.757 0.256 0.251

---

Repeat the eighth record exactly.
Density functional theory data (PBE) for a geometry-optimized YSnSb2 structure.

Summary:
formation energy from raw total energies	-0.81	eV/f.u.
density of states at the Fermi level	1.273	states/eV per atom

a = 6.899 Å, b = 6.899 Å, c = 13.780 Å
α = 90.00°, β = 90.00°, γ = 90.00°
Sites, in units of the cell vectors:
Y 0.000 0.000 0.000
Y 0.000 0.500 0.250
Y 0.500 0.000 0.750
Y 0.500 0.500 0.500
Sn 0.000 0.000 0.500
Sn 0.000 0.500 0.750
Sn 0.500 0.000 0.250
Sn 0.500 0.500 0.000
Sb 0.241 0.250 0.625
Sb 0.250 0.741 0.875
Sb 0.250 0.759 0.375
Sb 0.259 0.250 0.125
Sb 0.741 0.750 0.125
Sb 0.750 0.241 0.375
Sb 0.750 0.259 0.875
Sb 0.759 0.750 0.625

---

density of states at the Fermi level of number 7 (ScAlPt)? 0.558 states/eV per atom

---

The lowest density of states at the Fermi level belongs to which entry? Pm4Sb3Br